NdAl3Ni3 (PBE, optimized geometry); density of states at the Fermi level = 4.6 states/eV per cell; energy of formation = -2.46 eV per formula unit; space group = No. 148
1.0
3.198 1.847 6.512
-3.198 1.847 6.512
0.000 -3.693 6.512
Nd Al Ni
2 6 6
Direct
0.157 0.157 0.157
0.843 0.843 0.843
0.064 0.236 0.582
0.236 0.582 0.064
0.418 0.936 0.764
0.582 0.064 0.236
0.764 0.418 0.936
0.936 0.764 0.418
0.204 0.404 0.652
0.348 0.796 0.596
0.404 0.652 0.204
0.596 0.348 0.796
0.652 0.204 0.404
0.796 0.596 0.348

Sm2AgBO5 (PBE, optimized geometry); space group = No. 127; energy relative to the elements, uncorrected = -2.179 eV per atom
1.0
6.641 0.000 0.000
0.000 6.641 0.000
0.000 0.000 5.142
Sm Ag B O
4 2 2 10
Direct
0.179 0.321 0.000
0.321 0.821 0.000
0.679 0.179 0.000
0.821 0.679 0.000
0.000 0.000 0.500
0.500 0.500 0.500
0.000 0.500 0.500
0.500 0.000 0.500
0.000 0.000 0.000
0.118 0.618 0.279
0.118 0.618 0.721
0.382 0.118 0.279
0.382 0.118 0.721
0.500 0.500 0.000
0.618 0.882 0.279
0.618 0.882 0.721
0.882 0.382 0.279
0.882 0.382 0.721

MoPd6Au3 (PBE, optimized geometry); density of states at the Fermi level = 15.4 states/eV per cell; relative energy among the computed polymorphs = 0.0 meV per atom; energy of formation = -0.17 eV per formula unit; space group = No. 55
1.0
4.934 0.000 0.000
0.000 23.210 0.000
0.000 0.000 2.826
Mo Pd Au
2 12 6
Direct
0.000 0.000 0.000
0.500 0.500 0.000
0.157 0.303 0.000
0.179 0.904 0.500
0.190 0.597 0.000
0.310 0.097 0.000
0.321 0.404 0.500
0.343 0.803 0.000
0.657 0.197 0.000
0.679 0.596 0.500
0.690 0.903 0.000
0.810 0.403 0.000
0.821 0.096 0.500
0.843 0.697 0.000
0.000 0.500 0.500
0.155 0.198 0.500
0.345 0.698 0.500
0.500 0.000 0.500
0.655 0.302 0.500
0.845 0.802 0.500

SrCa2Cl (PBE, optimized geometry); density of states at the Fermi level = 3.1 states/eV per cell; relative energy among the computed polymorphs = 80.4 meV per atom; space group = No. 99; energy relative to the elements, uncorrected = -0.711 eV per atom
1.0
3.852 0.000 0.000
0.000 3.852 0.000
0.000 0.000 11.446
Sr Ca Cl
1 2 1
Direct
0.000 0.000 0.000
0.000 0.000 0.523
0.500 0.500 0.280
0.500 0.500 0.875